Material: MgZnSO
Method: DFT, PBE-GGA
State: optimized geometry

Cell: 6.442 12.235 6.393 Å, 90.00 90.00 90.00°
Sites, in units of the cell vectors:
Mg 0.051 0.263 0.141
Mg 0.449 0.763 0.141
Mg 0.551 0.263 0.359
Mg 0.949 0.763 0.359
Mg 0.051 0.237 0.641
Mg 0.449 0.737 0.641
Mg 0.551 0.237 0.859
Mg 0.949 0.737 0.859
O 0.735 0.218 0.117
O 0.765 0.718 0.117
O 0.235 0.218 0.383
O 0.265 0.718 0.383
O 0.735 0.282 0.617
O 0.765 0.782 0.617
O 0.235 0.282 0.883
O 0.265 0.782 0.883
S 0.455 0.454 0.247
S 0.045 0.954 0.247
S 0.955 0.454 0.253
S 0.545 0.954 0.253
S 0.455 0.046 0.747
S 0.045 0.546 0.747
S 0.955 0.046 0.753
S 0.545 0.546 0.753
Zn 0.782 0.056 0.075
Zn 0.718 0.556 0.075
Zn 0.282 0.056 0.425
Zn 0.218 0.556 0.425
Zn 0.782 0.444 0.575
Zn 0.718 0.944 0.575
Zn 0.282 0.444 0.925
Zn 0.218 0.944 0.925

Results
* theoretical density: 3.6 g/cm³
* energy above the lowest structure with this stoichiometry: 144 meV per atom
* SG: Pbca, No. 61